# LiNbB4

A geometry-optimized LiNbB4 structure (GGA-PBE, OQMD via LeMat-Bulk).

Unit cell a=4.5419 b=4.5419 c=4.5419 alpha=140.92 beta=109.82 gamma=83.37
Positions (direct):
B (0.4166, 0.7451, 0.6715)
B (0.5834, 0.2549, 0.3285)
B (0.9263, 0.2549, 0.6715)
B (0.0737, 0.7451, 0.3285)
Nb (0.0000, 0.0000, 0.0000)
Li (0.5000, 0.5000, 0.0000)

Results
- magnetization (μB per formula unit) = 0.00
- electronic total energy (eV per formula unit) = -41.24
- polymorph energy (0 for the lowest one) (eV per atom) = 0.037

---

# LiNbB

A geometry-optimized LiNbB structure (GGA-PBE, OQMD via LeMat-Bulk).

Unit cell a=3.7535 b=3.7535 c=3.7535 alpha=60.00 beta=60.00 gamma=60.00
Positions (direct):
Li (0.2500, 0.2500, 0.2500)
Nb (0.7500, 0.7500, 0.7500)
B (0.0000, 0.0000, 0.0000)

Results
- magnetization (μB per formula unit) = 0.00
- electronic total energy (eV per formula unit) = -18.39
- polymorph energy (0 for the lowest one) (eV per atom) = 0.000

---

# Li2NbB6

A geometry-optimized Li2NbB6 structure (GGA-PBE, OQMD via LeMat-Bulk).

Unit cell a=8.9542 b=11.1374 c=3.4835 alpha=90.00 beta=90.00 gamma=90.00
Positions (direct):
B (0.3740, 0.3240, 0.5000)
B (0.9018, 0.0265, 0.5000)
B (0.5245, 0.2129, 0.5000)
B (0.6986, 0.2597, 0.5000)
B (0.0982, 0.9735, 0.5000)
B (0.6260, 0.6760, 0.5000)
B (0.9755, 0.7129, 0.5000)
B (0.3014, 0.7403, 0.5000)
B (0.8740, 0.1760, 0.5000)
B (0.4755, 0.7871, 0.5000)
B (0.7634, 0.9243, 0.5000)
B (0.9494, 0.4382, 0.5000)
B (0.0506, 0.5618, 0.5000)
B (0.8014, 0.7597, 0.5000)
B (0.7366, 0.4243, 0.5000)
B (0.2366, 0.0757, 0.5000)
B (0.5982, 0.5265, 0.5000)
B (0.4494, 0.0618, 0.5000)
B (0.1260, 0.8240, 0.5000)
B (0.4018, 0.4735, 0.5000)
B (0.1986, 0.2403, 0.5000)
B (0.2634, 0.5757, 0.5000)
B (0.0245, 0.2871, 0.5000)
B (0.5506, 0.9382, 0.5000)
Li (0.6813, 0.0875, 0.0000)
Li (0.4483, 0.6241, 0.0000)
Li (0.9483, 0.8759, 0.0000)
Li (0.1813, 0.4125, 0.0000)
Li (0.5517, 0.3759, 0.0000)
Li (0.3187, 0.9125, 0.0000)
Li (0.8187, 0.5875, 0.0000)
Li (0.0517, 0.1241, 0.0000)
Nb (0.3537, 0.1809, 0.0000)
Nb (0.6463, 0.8191, 0.0000)
Nb (0.1463, 0.6809, 0.0000)
Nb (0.8537, 0.3191, 0.0000)

Results
- magnetization (μB per formula unit) = 0.00
- electronic total energy (eV per formula unit) = -54.53

---

# LiNb2B

A geometry-optimized LiNb2B structure (GGA-PBE, OQMD via LeMat-Bulk).

Unit cell a=4.3119 b=4.3119 c=4.3119 alpha=60.00 beta=60.00 gamma=60.00
Positions (direct):
B (0.5000, 0.5000, 0.5000)
Nb (0.7500, 0.7500, 0.7500)
Nb (0.0000, 0.0000, 0.0000)
Li (0.2500, 0.2500, 0.2500)

Results
- magnetization (μB per formula unit) = 0.02
- electronic total energy (eV per formula unit) = -25.61

---

# LiNbB4

A geometry-optimized LiNbB4 structure (GGA-PBE, OQMD via LeMat-Bulk).

Unit cell a=5.9671 b=11.5168 c=3.5337 alpha=90.00 beta=90.00 gamma=90.00
Positions (direct):
B (0.6256, 0.9682, 0.5000)
B (0.3744, 0.0318, 0.5000)
B (0.8128, 0.3119, 0.5000)
B (0.4840, 0.3014, 0.5000)
B (0.3784, 0.4487, 0.5000)
B (0.3128, 0.1881, 0.5000)
B (0.0160, 0.8014, 0.5000)
B (0.6872, 0.8119, 0.5000)
B (0.8784, 0.0513, 0.5000)
B (0.5160, 0.6986, 0.5000)
B (0.9840, 0.1986, 0.5000)
B (0.1216, 0.9487, 0.5000)
B (0.6216, 0.5513, 0.5000)
B (0.8744, 0.4682, 0.5000)
B (0.1872, 0.6881, 0.5000)
B (0.1256, 0.5318, 0.5000)
Nb (0.6393, 0.4078, 0.0000)
Nb (0.3607, 0.5922, 0.0000)
Nb (0.1393, 0.0922, 0.0000)
Nb (0.8607, 0.9078, 0.0000)
Li (0.1282, 0.3547, 0.0000)
Li (0.3718, 0.8547, 0.0000)
Li (0.8718, 0.6453, 0.0000)
Li (0.6282, 0.1453, 0.0000)

Results
- magnetization (μB per formula unit) = 0.01
- electronic total energy (eV per formula unit) = -39.17
- polymorph energy (0 for the lowest one) (eV per atom) = 0.383

---

# LiNbB4

A geometry-optimized LiNbB4 structure (GGA-PBE, OQMD via LeMat-Bulk).

Unit cell a=3.0298 b=3.0298 c=7.0279 alpha=90.00 beta=90.00 gamma=120.00
Positions (direct):
B (0.3333, 0.6667, 0.7410)
B (0.6667, 0.3333, 0.2590)
B (0.3333, 0.6667, 0.2590)
B (0.6667, 0.3333, 0.7410)
Li (0.0000, 0.0000, 0.0000)
Nb (0.0000, 0.0000, 0.5000)

Results
- magnetization (μB per formula unit) = 0.01
- electronic total energy (eV per formula unit) = -41.46
- polymorph energy (0 for the lowest one) (eV per atom) = 0.000

---

# LiNbNiB

A geometry-optimized LiNbNiB structure (GGA-PBE, OQMD via LeMat-Bulk).

Unit cell a=4.0291 b=4.0291 c=4.0291 alpha=60.00 beta=60.00 gamma=60.00
Positions (direct):
Li (0.2500, 0.2500, 0.2500)
Ni (0.5000, 0.5000, 0.5000)
B (0.0000, 0.0000, 0.0000)
Nb (0.7500, 0.7500, 0.7500)

Results
- magnetization (μB per formula unit) = 0.00
- electronic total energy (eV per formula unit) = -23.90
- polymorph energy (0 for the lowest one) (eV per atom) = 0.000

---

# LiNbNiB

A geometry-optimized LiNbNiB structure (GGA-PBE, OQMD via LeMat-Bulk).

Unit cell a=3.9613 b=3.9613 c=3.9613 alpha=60.00 beta=60.00 gamma=60.00
Positions (direct):
Nb (0.2500, 0.2500, 0.2500)
Ni (0.7500, 0.7500, 0.7500)
B (0.0000, 0.0000, 0.0000)
Li (0.5000, 0.5000, 0.5000)

Results
- magnetization (μB per formula unit) = 0.91
- electronic total energy (eV per formula unit) = -23.68
- polymorph energy (0 for the lowest one) (eV per atom) = 0.055